# MgP2Pd4 | the Alexandria database | PBE-GGA | relaxed
# space group: No. 5
# ΔH_f (0 K): -0.469 eV/atom
# M_tot: 0.000 μB/f.u.
# crystal system: monoclinic
# ΔE to the lowest computed polymorph: 0.635 eV/f.u.
# final energy: -0.191 Ha/atom
data_MgP2Pd4
_cell_length_a 5.9432
_cell_length_b 5.9430
_cell_length_c 7.9213
_cell_angle_alpha 114.74
_cell_angle_beta 114.74
_cell_angle_gamma 91.75
_symmetry_space_group_name_H-M 'P 1'
_symmetry_Int_Tables_number 1
loop_
_symmetry_equiv_pos_as_xyz
'x,y,z'
loop_
_atom_site_label
_atom_site_type_symbol
_atom_site_fract_x
_atom_site_fract_y
_atom_site_fract_z
Mg1 Mg 0.3488 0.6513 0.5000
Mg2 Mg 0.9026 0.0975 0.0000
P1 P 0.6484 0.8000 0.3766
P2 P 0.8673 0.6161 0.8975
P3 P 0.2000 0.3516 0.6234
P4 P 0.3839 0.1327 0.1024
Pd1 Pd 0.9492 0.6891 0.6269
Pd2 Pd 0.3967 0.1407 0.8050
Pd3 Pd 0.8078 0.1659 0.3120
Pd4 Pd 0.3109 0.0508 0.3731
Pd5 Pd 0.8341 0.1922 0.6880
Pd6 Pd 0.2537 0.5127 0.0893
Pd7 Pd 0.8594 0.6033 0.1951
Pd8 Pd 0.4873 0.7463 0.9107